Density functional theory data (PBE-GGA) for a relaxed structure of ZnSbTe2.

Values from the calculation:
The excess energy over the best structure of this formula in the dataset is 70 meV/atom. The space group is C2/m (12). The value obtained for the formation energy (no corrections) is -0.027 eV/atom. Its crystal system is monoclinic.

Lattice parameters (Å, degrees): 5.271 5.271 5.262 108.68 108.68 110.73
Fractional coordinates of all 4 atoms:
Zn (0.000, 0.000, 0.000)
Sb (0.500, 0.500, 0.000)
Te (0.000, 0.500, 0.500)
Te (0.500, 0.000, 0.500)